VASP calculation (PBE-GGA) on a relaxed structure of LaMgZn11.

```
LaMgZn11
1.0
-3.057 4.301 -1.212
-5.827 -1.663 -3.410
-4.596 1.532 4.938
Zn Mg La
11 1 1
direct
0.000 0.000 0.500
0.012 0.353 0.641
0.500 0.000 0.500
0.347 0.647 0.641
0.653 0.353 0.359
0.000 0.500 0.000
0.726 0.783 0.776
0.499 0.217 0.776
0.501 0.783 0.224
0.988 0.647 0.359
0.274 0.217 0.224
0.500 0.500 0.000
0.000 0.000 0.000
```

VASP calculation (PBE-GGA) on a relaxed structure of LaMgZn3.

```
LaMgZn3
1.0
5.734 0.000 0.000
0.000 5.734 0.000
0.000 0.000 5.734
Zn Mg La
3 1 1
direct
0.000 0.000 0.500
0.500 0.000 0.000
0.000 0.500 0.000
0.500 0.500 0.500
0.000 0.000 0.000
```

VASP calculation (PBE-GGA) on a relaxed structure of LaMg2Zn.

```
LaMg2Zn
1.0
-2.184 -3.381 -1.857
3.784 -2.292 -0.277
-1.085 -7.169 9.038
Zn Mg La
2 4 2
direct
0.250 0.750 0.500
0.500 0.500 0.000
0.875 0.841 0.750
0.159 0.625 0.250
0.375 0.409 0.750
0.591 0.125 0.250
0.000 0.000 0.000
0.750 0.250 0.500
```

VASP calculation (PBE-GGA) on a relaxed structure of La2Mg2Zn15.

```
La2Mg2Zn15
1.0
6.978 0.001 0.001
0.907 6.919 0.001
0.907 0.796 6.873
Zn La Mg
15 2 2
direct
0.000 0.709 0.291
0.160 0.648 0.648
0.709 0.000 0.291
0.709 0.291 0.000
0.500 0.000 0.000
0.000 0.000 0.500
0.000 0.500 0.000
0.291 0.000 0.709
0.352 0.352 0.840
0.648 0.160 0.648
0.840 0.352 0.352
0.648 0.648 0.160
0.000 0.291 0.709
0.291 0.709 0.000
0.352 0.840 0.352
0.659 0.659 0.659
0.341 0.341 0.341
0.897 0.897 0.897
0.103 0.103 0.103
```

VASP calculation (PBE-GGA) on a relaxed structure of LaMg6Zn2.

```
LaMg6Zn2
1.0
-0.297 3.893 -2.053
0.683 -1.993 -3.876
-10.463 -1.392 -1.127
Mg La Zn
6 1 2
direct
0.000 0.500 0.280
0.000 0.000 0.500
0.000 0.500 0.720
0.500 0.000 0.720
0.500 0.500 0.500
0.500 0.000 0.280
0.000 0.000 0.000
0.500 0.500 0.118
0.500 0.500 0.882
```

VASP calculation (PBE-GGA) on a relaxed structure of La2Mg3Zn2.

```
La2Mg3Zn2
1.0
-0.918 -4.260 -1.735
1.409 0.012 5.567
-7.162 1.125 1.026
Zn Mg La
2 3 2
direct
0.083 0.166 0.658
0.917 0.834 0.342
0.314 0.628 0.136
0.686 0.372 0.864
0.000 0.000 0.000
0.622 0.244 0.354
0.378 0.756 0.646
```

VASP calculation (PBE-GGA) on a relaxed structure of La3MgZn.

```
La3MgZn
1.0
-3.445 0.175 4.285
-4.231 -0.978 -3.362
-0.522 -9.817 3.512
La Zn Mg
6 2 2
direct
0.388 0.250 0.873
0.261 0.750 0.127
0.759 0.250 0.130
0.574 0.250 0.500
0.074 0.750 0.500
0.889 0.750 0.870
0.668 0.750 0.312
0.980 0.250 0.688
0.479 0.750 0.689
0.169 0.250 0.311
```

VASP calculation (PBE-GGA) on a relaxed structure of La6Mg2Zn.

```
La6Mg2Zn
1.0
6.618 0.000 0.921
0.000 9.901 0.000
0.646 0.000 9.190
La Mg Zn
12 4 2
direct
0.112 0.320 0.481
0.895 0.692 0.965
0.633 0.465 0.298
0.388 0.820 0.019
0.367 0.535 0.702
0.867 0.965 0.202
0.395 0.808 0.465
0.888 0.680 0.519
0.605 0.192 0.535
0.612 0.180 0.981
0.133 0.035 0.798
0.105 0.308 0.035
0.326 0.079 0.276
0.826 0.421 0.776
0.174 0.579 0.224
0.674 0.921 0.724
0.000 0.000 0.500
0.500 0.500 0.000
```

VASP calculation (PBE-GGA) on a relaxed structure of LaMg11Zn.

```
LaMg11Zn
1.0
5.447 -0.024 2.269
2.639 7.159 1.099
-0.043 -0.012 7.775
Mg Zn La
11 1 1
direct
0.497 0.780 0.210
0.993 0.356 0.654
0.503 0.220 0.790
0.500 0.000 0.500
0.007 0.644 0.346
0.707 0.780 0.790
0.646 0.356 0.346
0.000 0.500 0.000
0.354 0.644 0.654
0.000 0.000 0.500
0.293 0.220 0.210
0.500 0.500 0.000
0.000 0.000 0.000
```

VASP calculation (PBE-GGA) on a relaxed structure of LaMg4Zn2.

```
LaMg4Zn2
1.0
-3.001 -2.137 -2.668
-0.880 -5.987 5.785
-6.230 4.333 3.537
La Zn Mg
2 4 8
direct
0.000 0.500 0.500
0.500 0.000 0.000
0.000 0.785 0.215
0.000 0.215 0.785
0.500 0.285 0.285
0.500 0.715 0.715
0.000 0.339 0.091
0.000 0.091 0.339
0.500 0.161 0.591
0.500 0.409 0.839
0.500 0.839 0.409
0.000 0.661 0.909
0.000 0.909 0.661
0.500 0.591 0.161
```

VASP calculation (PBE-GGA) on a relaxed structure of LaMg2Zn.

```
LaMg2Zn
1.0
-2.454 3.781 1.955
-2.946 -1.668 -0.474
-0.499 -3.047 5.265
Mg La Zn
2 1 1
direct
0.000 0.391 0.467
0.000 0.109 0.033
0.500 0.750 0.750
0.500 0.250 0.250
```

VASP calculation (PBE-GGA) on a relaxed structure of LaMg2Zn.

```
LaMg2Zn
1.0
5.538 -0.001 -0.005
-2.664 6.029 -0.001
0.211 0.851 3.085
Mg La Zn
2 1 1
direct
0.000 0.000 0.000
0.500 0.000 0.500
0.500 0.500 0.000
0.000 0.500 0.500
```

no.,magnetic moment (μB/f.u.),DFT formation energy (kJ/mol of formula units)
1,0.0,-223
2,0.0,409
3,0.0,43
4,0.0,-477
5,0.0,-125
6,0.0,-132
7,0.0,-67
8,0.0,7
9,0.0,-104
10,0.0,-115
11,0.0,-27
12,0.0,11